1.
The following is a GGA-PBE calculation of crystalline BaH2Pb at its relaxed geometry, from Alexandria.

Lattice parameters (Å, degrees): 4.8228 4.8228 4.8228 60.00 60.00 60.00
Last column: nearest neighbours and their distance in Å.
Fractional coordinates of all 4 atoms:
H  0.2500  0.2500  0.2500  4 Ba 2.95, 4 Pb 2.95
Ba  0.0000  0.0000  0.0000  8 H 2.95
Pb  0.5000  0.5000  0.5000  8 H 2.95
H  0.7500  0.7500  0.7500  4 Ba 2.95, 4 Pb 2.95

Summary:
Energy above the most stable polymorph in this dataset (eV/atom): 0.226

2.
The following is a GGA-PBE calculation of crystalline Ba2Hg2Bi3 at its relaxed geometry, from Alexandria.

Lattice parameters (Å, degrees): 5.4143 5.4143 10.2342 91.46 104.37 118.87
Last column: nearest neighbours and their distance in Å.
Fractional coordinates of all 7 atoms:
Bi  0.6844  0.8303  0.5146  3 Bi 3.10-3.28
Bi  0.0000  0.0000  0.0000  6 Hg 3.31-3.33
Hg  0.5937  0.2965  0.8902  3 Bi 3.31-3.33, 4 Ba 3.47-3.63
Ba  0.1585  0.5801  0.7385  4 Hg 3.47-3.63, 4 Bi 3.78-3.87
Bi  0.3156  0.1697  0.4854  3 Bi 3.10-3.28
Ba  0.8415  0.4199  0.2615  4 Hg 3.47-3.63, 4 Bi 3.78-3.87
Hg  0.4063  0.7035  0.1098  3 Bi 3.31-3.33, 4 Ba 3.47-3.63

Summary:
Energy above the most stable polymorph in this dataset (eV/atom): 0.025
E_form (eV/atom): -0.5248

3.
The following is a GGA-PBE calculation of crystalline LaZn9Co2 at its relaxed geometry, from Alexandria.

Lattice parameters (Å, degrees): 6.8373 8.1359 8.1359 79.83 65.15 65.15
Last column: nearest neighbours and their distance in Å.
Fractional coordinates of all 24 atoms:
Co  0.8750  0.2500  0.7500  10 Zn 2.51-2.75
Zn  0.3059  0.6734  0.0818  2 Co 2.51-2.55, 8 Zn 2.56-2.79
Zn  0.7293  0.8266  0.5818  2 Co 2.51-2.55, 8 Zn 2.56-2.79
Zn  0.7500  0.5000  0.5000  4 Co 2.75, 8 Zn 2.78
Zn  0.0000  0.0000  0.0000  4 Co 2.75, 8 Zn 2.78
Zn  0.4441  0.8266  0.4182  2 Co 2.51-2.55, 8 Zn 2.56-2.79
Zn  0.0611  0.3266  0.9182  2 Co 2.51-2.55, 8 Zn 2.56-2.79
Co  0.8750  0.7500  0.2500  10 Zn 2.51-2.75
La  0.5000  0.0000  0.0000  18 Zn 3.30-3.42, 4 Co 3.66
Zn  0.1377  0.1734  0.4182  2 Co 2.51-2.55, 8 Zn 2.56-2.79
Zn  0.6123  0.3266  0.0818  2 Co 2.51-2.55, 8 Zn 2.56-2.79
Zn  0.3059  0.0818  0.6734  2 Co 2.51-2.55, 8 Zn 2.56-2.79
Zn  0.1377  0.4182  0.1734  2 Co 2.51-2.55, 8 Zn 2.56-2.79
Zn  0.6123  0.0818  0.3266  2 Co 2.51-2.55, 8 Zn 2.56-2.79
Zn  0.0611  0.9182  0.3266  2 Co 2.51-2.55, 8 Zn 2.56-2.79
Zn  0.6889  0.5818  0.1734  2 Co 2.51-2.55, 8 Zn 2.56-2.79
Zn  0.0207  0.6734  0.9182  2 Co 2.51-2.55, 8 Zn 2.56-2.79
Zn  0.7293  0.5818  0.8266  2 Co 2.51-2.55, 8 Zn 2.56-2.79
Zn  0.6889  0.1734  0.5818  2 Co 2.51-2.55, 8 Zn 2.56-2.79
Co  0.3750  0.7500  0.7500  10 Zn 2.51-2.75
La  0.2500  0.5000  0.5000  18 Zn 3.30-3.42, 4 Co 3.66
Co  0.8750  0.2500  0.2500  10 Zn 2.51-2.75
Zn  0.0207  0.9182  0.6734  2 Co 2.51-2.55, 8 Zn 2.56-2.79
Zn  0.4441  0.4182  0.8266  2 Co 2.51-2.55, 8 Zn 2.56-2.79

Summary:
E_form (eV/atom): -0.1940

4.
The following is a GGA-PBE calculation of crystalline Si2Se at its relaxed geometry, from Alexandria.

Lattice parameters (Å, degrees): 10.8282 10.8282 3.5112 90.00 90.00 162.80
Last column: nearest neighbours and their distance in Å.
Fractional coordinates of all 6 atoms:
Se  0.5888  0.4112  0.7500  4 Si 2.60
Se  0.4112  0.5888  0.2500  4 Si 2.60
Si  0.7310  0.2690  0.2500  6 Si 2.52-2.58
Si  0.1371  0.8629  0.2500  2 Si 2.58, 4 Se 2.60
Si  0.2690  0.7310  0.7500  6 Si 2.52-2.58
Si  0.8629  0.1371  0.7500  2 Si 2.58, 4 Se 2.60

Summary:
Energy above the most stable polymorph in this dataset (eV/atom): 0.384
Formation energy without anion corrections (eV per atom): 0.215

5.
The following is a GGA-PBE calculation of crystalline Pr6Nd2Sm3Pb at its relaxed geometry, from Alexandria.

Lattice parameters (Å, degrees): 6.3118 6.3118 12.1240 95.03 95.03 120.14
Last column: nearest neighbours and their distance in Å.
Fractional coordinates of all 12 atoms:
Pr  0.5928  0.9169  0.7515  6 Pr 3.54-3.70, 1 Pb 3.60, 3 Sm 3.65-3.68, 2 Nd 3.65-3.66
Pr  0.7595  0.7595  0.2503  6 Pr 3.54-3.70, 1 Pb 3.62, 3 Sm 3.64-3.68, 2 Nd 3.66
Sm  0.1691  0.8309  0.5000  6 Sm 3.61-3.70, 6 Pr 3.64-3.68
Nd  0.3341  0.6659  0.0000  3 Nd 3.63-3.65, 3 Pb 3.63-3.66, 6 Pr 3.65-3.66
Sm  0.5000  0.5000  0.5000  6 Sm 3.62-3.65, 6 Pr 3.65-3.68
Pb  0.0000  0.0000  0.0000  6 Pr 3.60-3.62, 6 Nd 3.63-3.66
Pr  0.2405  0.2405  0.7497  6 Pr 3.54-3.70, 1 Pb 3.62, 3 Sm 3.64-3.68, 2 Nd 3.66
Pr  0.9169  0.5928  0.7515  6 Pr 3.54-3.70, 1 Pb 3.60, 3 Sm 3.65-3.68, 2 Nd 3.65-3.66
Pr  0.0831  0.4072  0.2485  6 Pr 3.54-3.70, 1 Pb 3.60, 3 Sm 3.65-3.68, 2 Nd 3.65-3.66
Nd  0.6659  0.3341  0.0000  3 Nd 3.63-3.65, 3 Pb 3.63-3.66, 6 Pr 3.65-3.66
Pr  0.4072  0.0831  0.2485  6 Pr 3.54-3.70, 1 Pb 3.60, 3 Sm 3.65-3.68, 2 Nd 3.65-3.66
Sm  0.8309  0.1691  0.5000  6 Sm 3.61-3.70, 6 Pr 3.64-3.68

Summary:
E_form (eV/atom): -0.0596

6.
The following is a GGA-PBE calculation of crystalline CaTa3Cd at its relaxed geometry, from Alexandria.

Lattice parameters (Å, degrees): 4.7956 4.7956 4.7956 90.00 90.00 90.00
Last column: nearest neighbours and their distance in Å.
Fractional coordinates of all 5 atoms:
Ta  0.5000  0.0000  0.0000  2 Ca 2.40
Cd  0.5000  0.5000  0.5000  12 Ta 3.39
Ta  0.0000  0.5000  0.0000  2 Ca 2.40
Ta  0.0000  0.0000  0.5000  2 Ca 2.40
Ca  0.0000  0.0000  0.0000  6 Ta 2.40

Summary:
Energy above the most stable polymorph in this dataset (eV/atom): 0.528
E_form (eV/atom): 2.4596

7.
The following is a GGA-PBE calculation of crystalline Dy2Re2N5 at its relaxed geometry, from Alexandria.

Lattice parameters (Å, degrees): 5.7442 5.4333 8.5207 108.59 109.70 90.00
Last column: nearest neighbours and their distance in Å.
Fractional coordinates of all 18 atoms:
N  0.2320  0.7264  0.9620  2 Re 1.99-2.01
N  0.9127  0.1141  0.5000  2 Re 1.94-1.98
N  0.7680  0.7644  0.0380  2 Re 1.99-2.01
Dy  0.1226  0.6028  0.2240  4 N 2.33-2.48
N  0.7765  0.8561  0.7291  1 Re 1.88
Dy  0.3986  0.8788  0.7760  4 N 2.33-2.48
Re  0.7856  0.7744  0.5000  4 N 1.88-1.98
N  0.2235  0.1270  0.2709  1 Re 1.88
Re  0.2144  0.2744  0.5000  4 N 1.88-1.98
Re  0.5000  0.4920  0.0000  6 N 1.99-2.11
Dy  0.6014  0.1028  0.2240  4 N 2.33-2.48
N  0.2300  0.2264  0.9620  2 Re 1.99-2.01
Dy  0.8774  0.3788  0.7760  4 N 2.33-2.48
N  0.5474  0.6270  0.2709  1 Re 1.88
N  0.4526  0.3561  0.7291  1 Re 1.88
N  0.0873  0.6141  0.5000  2 Re 1.94-1.98
Re  0.0000  0.9920  0.0000  6 N 1.99-2.11
N  0.7700  0.2644  0.0380  2 Re 1.99-2.01

Summary:
Formation energy without anion corrections (eV per atom): -0.672

8.
The following is a GGA-PBE calculation of crystalline SrMgGa2Cu at its relaxed geometry, from Alexandria.

Lattice parameters (Å, degrees): 4.3534 4.3589 6.4569 109.73 109.70 90.00
Last column: nearest neighbours and their distance in Å.
Fractional coordinates of all 5 atoms:
Ga  0.6981  0.1981  0.3962  2 Cu 2.63, 2 Ga 2.76
Ga  0.0479  0.0479  0.0958  1 Cu 2.50, 2 Mg 2.75, 2 Ga 2.76
Sr  0.4423  0.4423  0.8846  8 Ga 3.31-3.63, 4 Cu 3.34, 4 Mg 3.54-3.61
Mg  0.1962  0.6962  0.3924  2 Cu 2.64, 2 Ga 2.75
Cu  0.8277  0.8277  0.6553  3 Ga 2.50-2.63, 2 Mg 2.64

Summary:
Energy above the most stable polymorph in this dataset (eV/atom): 0.000
E_form (eV/atom): -0.3127

9.
The following is a GGA-PBE calculation of crystalline K5Mg3 at its relaxed geometry, from Alexandria.

Lattice parameters (Å, degrees): 11.2491 11.2491 7.2987 90.00 90.00 120.03
Last column: nearest neighbours and their distance in Å.
Fractional coordinates of all 16 atoms:
K  0.3334  0.6666  0.5000  2 K 3.65, 6 Mg 3.84
K  0.0000  0.7524  0.7500  5 Mg 3.77-4.12
Mg  0.0000  0.5832  0.2500  9 K 3.77-4.12, 2 Mg 4.10
K  0.3334  0.6666  0.0000  2 K 3.65, 6 Mg 3.84
K  0.2475  0.2475  0.7500  5 Mg 3.78-4.12
Mg  0.0000  0.4169  0.7500  9 K 3.77-4.12, 2 Mg 4.10
K  0.6666  0.3334  0.0000  2 K 3.65, 6 Mg 3.84
K  0.7524  0.0000  0.7500  5 Mg 3.77-4.12
K  0.2476  0.0000  0.2500  5 Mg 3.77-4.12
Mg  0.5832  0.5832  0.7500  9 K 3.78-4.12, 2 Mg 4.10
K  0.7525  0.7525  0.2500  5 Mg 3.78-4.12
K  0.6666  0.3334  0.5000  2 K 3.65, 6 Mg 3.84
K  0.0000  0.2477  0.2500  5 Mg 3.77-4.12
Mg  0.4168  0.4168  0.2500  9 K 3.78-4.12, 2 Mg 4.10
Mg  0.4168  0.0000  0.7500  9 K 3.77-4.12, 2 Mg 4.10
Mg  0.5831  0.0000  0.2500  9 K 3.77-4.12, 2 Mg 4.10

Summary:
Energy above the most stable polymorph in this dataset (eV/atom): 0.004
E_form (eV/atom): 0.2001

10.
The following is a GGA-PBE calculation of crystalline La2PmPr6 at its relaxed geometry, from Alexandria.

Lattice parameters (Å, degrees): 3.6165 10.1632 12.5040 113.98 125.35 90.00
Last column: nearest neighbours and their distance in Å.
Fractional coordinates of all 9 atoms:
La  0.3329  0.3332  0.6664  2 La 3.62, 12 Pr 3.84-3.86
Pr  0.5000  0.3310  0.0000  5 Pr 3.37-3.62
Pr  0.8366  0.0013  0.6683  5 Pr 3.37-3.62
Pr  0.8366  0.6669  0.6683  5 Pr 3.37-3.62
Pr  0.1634  0.9987  0.3317  5 Pr 3.37-3.62
Pm  0.0000  0.0000  0.0000  2 Pm 3.62, 12 Pr 3.82-3.84
La  0.6671  0.6668  0.3336  2 La 3.62, 12 Pr 3.84-3.86
Pr  0.5000  0.6690  0.0000  5 Pr 3.37-3.62
Pr  0.1634  0.3331  0.3317  5 Pr 3.37-3.62

Summary:
E_form (eV/atom): 0.0423

11.
The following is a GGA-PBE calculation of crystalline MgTl2Cd at its relaxed geometry, from Alexandria.

Lattice parameters (Å, degrees): 5.3020 5.3020 5.3020 60.00 60.00 60.00
Last column: nearest neighbours and their distance in Å.
Fractional coordinates of all 4 atoms:
Cd  0.5000  0.5000  0.5000  8 Tl 3.25
Tl  0.2500  0.2500  0.2500  4 Cd 3.25, 4 Mg 3.25
Tl  0.7500  0.7500  0.7500  4 Cd 3.25, 4 Mg 3.25
Mg  0.0000  0.0000  0.0000  8 Tl 3.25

Summary:
Energy above the most stable polymorph in this dataset (eV/atom): 0.040
E_form (eV/atom): 0.0343